Entry 1:
The following is a DFT calculation (PBE) of a geometry-optimized Nd4Zn3 structure.

Structure (POSCAR):
```
Nd4Zn3
1.0
4.962 0.000 1.479
2.260 4.417 1.479
0.065 0.040 8.843
Zn Nd
3 4
Direct
0.253 0.253 0.242
0.747 0.747 0.758
0.000 0.000 0.000
0.379 0.379 0.863
0.873 0.873 0.382
0.127 0.127 0.618
0.621 0.621 0.137
```

- E above lowest polymorph (meV per atom) = 0
- energy of formation (eV per atom) = -0.176

Entry 2:
The following is a DFT calculation (PBE) of a geometry-optimized NdZn3 structure.

Structure (POSCAR):
```
NdZn3
1.0
-1.921 3.644 -1.358
-2.897 -2.385 -2.300
-2.684 -0.112 3.497
Zn Nd
3 1
Direct
0.000 0.000 0.917
0.500 0.500 0.917
0.500 0.000 0.416
0.000 0.500 0.417
```

- energy of formation (eV per atom) = -0.165

Entry 3:
The following is a DFT calculation (PBE) of a geometry-optimized Nd2Zn7 structure.

Structure (POSCAR):
```
Nd2Zn7
1.0
5.505 0.000 0.000
2.752 4.767 0.000
2.752 1.589 12.929
Zn Nd
14 4
Direct
0.279 0.279 0.163
0.389 0.389 0.834
0.611 0.611 0.166
0.000 0.500 0.000
0.893 0.390 0.327
0.390 0.390 0.327
0.721 0.721 0.837
0.390 0.893 0.327
0.610 0.107 0.673
0.107 0.610 0.673
0.610 0.610 0.673
0.500 0.000 0.000
0.500 0.500 0.500
0.500 0.500 0.000
0.851 0.851 0.447
0.949 0.949 0.154
0.051 0.051 0.846
0.149 0.149 0.553
```

- energy of formation (eV per atom) = -0.298

Entry 4:
The following is a DFT calculation (PBE) of a geometry-optimized Nd5Zn2 structure.

Structure (POSCAR):
```
Nd5Zn2
1.0
-3.991 -5.945 2.936
4.578 -0.740 4.724
-2.375 8.103 2.982
Zn Nd
4 10
Direct
0.362 0.017 0.231
0.131 0.483 0.769
0.638 0.983 0.769
0.869 0.517 0.231
0.532 0.750 0.000
0.808 0.239 0.461
0.782 0.477 0.833
0.653 0.739 0.461
0.347 0.261 0.539
0.192 0.761 0.539
0.051 0.977 0.833
0.218 0.523 0.167
0.468 0.250 0.000
0.949 0.023 0.167
```

- energy of formation (eV per atom) = -0.114

> Which value of energy of formation does entry 3 give?

-0.298 eV per atom

> Among the records above, which one has the highest energy of formation?

Nd5Zn2

> Which of these has the lowest energy of formation?

Nd2Zn7

> Which formula does entry 1 have?

Nd4Zn3